Mg2BeIn | PBE-GGA | relaxed

Results
E_tot	-2.17	eV per atom
energy above the most stable polymorph in this dataset	25.5	kJ/mol of formula units
spin magnetization	0.000	Bohr magnetons per cell

Lattice parameters (Å, degrees): 9.950 3.026 5.602 90.00 108.63 90.00
Element x y z (fractional)
Mg  0.000  0.000  0.000
Mg  0.212  0.000  0.692
Mg  0.500  0.500  0.000
Mg  0.712  0.500  0.692
Be  0.472  0.000  0.578
Be  0.972  0.500  0.578
In  0.278  0.500  0.252
In  0.778  0.000  0.252


Li3ZrMo | PBE-GGA | relaxed

Results
E_tot	-3.76	eV per atom
energy above the most stable polymorph in this dataset	0.0	kJ/mol of formula units
spin magnetization	1.226	Bohr magnetons per cell

Lattice parameters (Å, degrees): 4.607 4.607 4.607 90.00 90.00 90.00
Element x y z (fractional)
Li  0.000  0.000  0.500
Li  0.000  0.500  0.000
Li  0.500  0.000  0.000
Zr  0.500  0.500  0.500
Mo  0.000  0.000  0.000